Entry from Alexandria via LeMat-Bulk: a relaxed GaSnHg crystal (PBE-GGA).

```
data_GaSnHg
_chemical_formula_sum 'Ga2 Sn2 Hg2'
_symmetry_space_group_name_H-M 'I 4 m m'
_symmetry_Int_Tables_number 107
_symmetry_space_group_name_Hall 'I 4 -2'
_cell_length_a 3.341
_cell_length_b 3.341
_cell_length_c 12.904
_cell_angle_alpha 90.00
_cell_angle_beta 90.00
_cell_angle_gamma 90.00
loop_
_atom_site_label
_atom_site_type_symbol
_atom_site_fract_x
_atom_site_fract_y
_atom_site_fract_z
Ga1 Ga 0.000 0.000 0.000
Sn1 Sn 0.000 0.000 0.660
Hg1 Hg 0.000 0.000 0.346
```

Crystal system: tetragonal
Final energy (eV per atom): -2.374
Energy above the most stable polymorph in this dataset (meV/atom): 23
Total magnetic moment (μB/atom): 0.00